Below is a relaxed structure of Cd2As3POs2, with properties calculated at the GGA-PBE level.

Cell and atoms, written as POSCAR:
```
Cd2As3POs2
1.0
6.3911 -2.8657 0.0000
6.3911 2.8657 0.0000
-2.6120 0.0000 5.2498
Cd As P Os
2 3 1 2
direct
0.1189 0.1189 0.3557 Cd
0.8811 0.8811 0.6443 Cd
0.0234 0.4764 0.7989 As
0.3152 0.6848 0.5000 As
0.5236 0.9766 0.2011 As
0.6966 0.3034 0.0000 P
0.4014 0.3557 0.1247 Os
0.6443 0.5986 0.8753 Os
```

Electronic total energy, eV for the cell shown: -41.89